VMo2F GGA+U relaxed; volume = 17.9 Å³ per atom; energy above the lowest structure with this stoichiometry = 167.8 meV per atom; ρ = 6.1 Mg/m³
1.0
0.000 3.298 3.298
3.298 0.000 3.298
3.298 3.298 0.000
Mo V F
2 1 1
direct
0.750 0.750 0.750
0.250 0.250 0.250
0.500 0.500 0.500
0.000 0.000 0.000